Record 1
PmCuAu | GGA-PBE | optimized geometry

Geometry as POSCAR:
```
PmCuAu
1.0
-1.525 -2.207 -2.572
0.943 -3.595 2.526
-3.925 2.130 0.500
Pm Cu Au
1 1 1
Cartesian
-1.696 -3.158 0.136
-2.557 -0.146 0.747
-0.254 -0.368 -0.429
```

Properties
Energy above the most stable polymorph in this dataset ... 7.1 meV/atom
Space-group type ... No. 187
Formation enthalpy at 0 K ... -1.6 eV/f.u.


Record 2
PmCu2Au | GGA-PBE | optimized geometry

Geometry as POSCAR:
```
PmCu2Au
1.0
-1.161 -0.427 -4.260
-3.773 -1.733 3.500
-2.957 6.706 0.133
Cu Pm Au
4 2 2
Cartesian
-4.449 2.727 -1.377
-2.447 -0.438 0.705
-3.442 1.819 0.750
-5.444 4.984 -1.332
-6.074 3.306 1.308
-1.818 1.240 -1.935
-4.433 0.070 -1.116
-3.458 4.475 0.490
```

Properties
Energy above the most stable polymorph in this dataset ... 93.5 meV/atom
Space-group type ... No. 11
Formation enthalpy at 0 K ... -0.9 eV/f.u.


Record 3
PmCuAu | GGA-PBE | optimized geometry

Geometry as POSCAR:
```
PmCuAu
1.0
4.601 0.000 0.000
2.300 3.985 0.000
2.300 1.328 3.757
Au Pm Cu
1 1 1
Cartesian
4.601 2.656 1.878
0.000 0.000 0.000
2.300 1.328 0.939
```

Properties
Energy above the most stable polymorph in this dataset ... 179.4 meV/atom
Space-group type ... No. 216
Formation enthalpy at 0 K ... -1.1 eV/f.u.


Record 4
Pm2Cu15Au2 | GGA-PBE | optimized geometry

Geometry as POSCAR:
```
Pm2Cu15Au2
1.0
6.596 -0.038 -0.034
0.818 6.545 -0.034
0.818 0.718 6.505
Cu Pm Au
15 2 2
Cartesian
2.545 0.492 4.550
0.818 4.803 1.921
2.119 4.731 4.215
4.868 1.930 -0.034
6.112 2.493 2.222
4.868 0.188 1.921
4.966 1.487 4.215
2.545 4.576 -0.034
0.409 3.272 -0.017
0.818 2.460 4.550
4.966 4.358 0.994
3.298 -0.019 -0.017
3.265 5.737 2.222
3.265 2.866 5.443
0.409 0.359 3.253
2.845 2.497 2.225
5.385 4.727 4.212
7.347 6.448 5.746
0.884 0.776 0.691
```

Properties
Space-group type ... No. 166
Formation enthalpy at 0 K ... -2.7 eV/f.u.


Record 5
Pm4CuAu | GGA-PBE | optimized geometry

Geometry as POSCAR:
```
Pm4CuAu
1.0
5.019 0.000 -0.002
0.000 5.021 -0.003
0.003 0.004 7.153
Pm Au Cu
4 1 1
Cartesian
2.516 5.007 1.828
0.010 2.502 5.292
2.519 5.012 5.289
0.007 2.497 1.831
2.519 2.501 7.137
0.009 5.009 3.563
```

Properties
Space-group type ... No. 123
Formation enthalpy at 0 K ... -0.8 eV/f.u.


Record 6
Pm3Cu2Au | GGA-PBE | optimized geometry

Geometry as POSCAR:
```
Pm3Cu2Au
1.0
-4.374 -1.414 -2.262
2.537 -3.316 2.969
-6.433 3.982 9.946
Cu Pm Au
4 6 2
Cartesian
-0.802 -2.041 2.826
-3.217 1.991 4.973
0.000 0.000 0.000
-7.468 1.293 7.827
-1.575 0.975 2.435
-5.686 0.983 10.378
-4.858 3.008 7.512
-2.438 -1.028 5.356
-2.583 -1.731 0.274
-5.831 0.280 5.296
-4.056 -0.026 7.858
-4.213 -0.721 2.795
```

Properties
Energy above the most stable polymorph in this dataset ... 3.9 meV/atom
Space-group type ... No. 164
Formation enthalpy at 0 K ... -2.2 eV/f.u.


Record 7
PmCu5Au | GGA-PBE | optimized geometry

Geometry as POSCAR:
```
PmCu5Au
1.0
5.098 0.000 0.000
0.000 8.233 0.000
0.000 0.000 10.358
Cu Au Pm
20 4 4
Cartesian
3.823 2.591 7.790
2.543 0.545 7.114
3.823 3.376 10.180
2.543 4.661 8.424
3.823 6.708 7.748
1.274 0.741 5.001
1.274 3.645 4.081
3.823 0.472 9.260
0.006 0.545 7.114
5.092 3.572 1.935
2.555 3.572 1.935
1.274 5.642 2.568
1.274 4.857 0.178
2.555 7.688 3.245
3.823 7.492 5.358
3.823 4.588 6.277
1.274 7.761 1.098
5.092 7.688 3.245
0.006 4.661 8.424
1.274 1.526 2.611
3.823 5.272 3.741
1.274 7.078 8.920
1.274 2.961 6.617
3.823 1.155 1.438
1.274 6.097 5.839
1.274 1.980 9.699
3.823 2.136 4.520
3.823 6.253 0.659
```

Properties
Space-group type ... No. 62
Formation enthalpy at 0 K ... -1.8 eV/f.u.


Record 8
Pm5Cu2Au | GGA-PBE | optimized geometry

Geometry as POSCAR:
```
Pm5Cu2Au
1.0
6.592 0.000 -3.112
-1.469 6.427 -3.112
0.442 0.554 9.475
Pm Cu Au
10 4 2
Cartesian
2.737 4.784 2.924
1.017 5.410 -0.721
1.492 0.521 6.036
5.884 3.246 -1.737
0.000 0.000 0.000
-0.319 3.734 4.988
2.562 3.213 -3.112
4.548 1.571 3.971
2.828 2.197 0.327
4.073 6.460 -2.785
3.916 0.778 -2.309
1.207 5.649 -3.915
4.882 3.991 -4.668
0.241 2.436 -1.556
4.063 5.097 0.069
1.502 1.884 3.181
```

Properties
Space-group type ... No. 140
Formation enthalpy at 0 K ... -2.2 eV/f.u.


Record 9
Pm3Cu3Au | GGA-PBE | optimized geometry

Geometry as POSCAR:
```
Pm3Cu3Au
1.0
4.215 0.000 -0.919
-0.188 3.718 -0.864
-0.002 0.385 10.112
Pm Cu Au
3 3 1
Cartesian
0.017 0.019 0.077
1.167 3.266 5.351
2.848 0.826 2.934
2.295 2.174 0.403
0.460 2.477 2.107
3.531 1.588 6.066
1.756 1.958 8.047
```

Properties
Space-group type ... No. 44
Formation enthalpy at 0 K ... -2.4 eV/f.u.


Record 10
PmCu2Au8 | GGA-PBE | optimized geometry

Geometry as POSCAR:
```
PmCu2Au8
1.0
-4.888 -1.248 2.368
2.677 -2.244 4.343
-0.027 7.172 3.723
Au Pm Cu
8 1 2
Cartesian
-1.687 2.970 7.963
-1.672 -1.059 5.871
-0.551 0.710 2.471
-3.028 0.078 3.671
0.789 3.602 6.763
0.805 -0.427 4.671
-3.043 4.107 5.763
-0.567 4.739 4.563
-1.119 1.840 5.217
-2.444 -0.624 1.184
1.338 -1.122 2.171
```

Properties
Space-group type ... No. 123
Formation enthalpy at 0 K ... -0.4 eV/f.u.


Record 11
Pm6Cu5Au | GGA-PBE | optimized geometry

Geometry as POSCAR:
```
Pm6Cu5Au
1.0
-1.755 4.678 1.007
-4.177 -2.674 5.143
6.503 -1.360 4.574
Cu Pm Au
5 6 1
Cartesian
-3.131 -0.004 7.381
3.702 0.648 3.343
1.681 -0.679 5.975
-2.089 -1.337 2.572
-1.110 1.324 4.749
-0.269 0.992 7.715
-1.942 1.658 1.814
-3.990 0.346 4.337
0.840 -0.347 3.010
1.797 2.315 5.170
-1.226 -1.670 5.554
0.000 0.000 0.000
```

Properties
Space-group type ... No. 10
Formation enthalpy at 0 K ... -3.2 eV/f.u.


Record 12
Pm3Cu2Au3 | GGA-PBE | optimized geometry

Geometry as POSCAR:
```
Pm3Cu2Au3
1.0
4.246 0.000 0.000
-2.123 5.242 0.000
0.000 0.000 16.083
Au Pm Cu
6 6 4
Cartesian
0.000 3.894 8.674
2.123 1.348 0.632
2.123 1.348 7.409
0.000 3.819 4.021
2.123 1.424 12.062
0.000 3.894 15.450
0.000 0.791 9.691
2.123 4.452 6.392
2.123 4.452 1.650
2.123 1.569 4.021
0.000 0.791 14.433
0.000 3.673 12.062
0.000 2.301 6.233
0.000 2.301 1.808
2.123 2.942 9.850
2.123 2.942 14.275
```

Properties
Space-group type ... No. 63
Formation enthalpy at 0 K ... -4.8 eV/f.u.